# 1
## NaScP2H2O8 (PBE)

Data for an optimized crystal structure of NaScP2H2O8.

Cell lengths 9.215, 9.525, 9.785 Å; angles 108.30, 107.00, 111.51 degrees
Positions (direct):
Na (0.580, 0.212, 0.350)
Na (0.082, 0.783, 0.374)
Na (0.731, 0.863, 0.650)
Na (0.208, 0.409, 0.626)
Sc (0.622, 0.586, 0.226)
Sc (0.896, 0.361, 0.774)
Sc (0.367, 0.861, 0.730)
Sc (0.137, 0.132, 0.270)
P (0.309, 0.156, 0.998)
P (0.906, 0.582, 0.551)
P (0.811, 0.158, 0.002)
P (0.437, 0.180, 0.618)
P (0.855, 0.030, 0.449)
P (0.319, 0.562, 0.382)
P (0.868, 0.696, 0.031)
P (0.336, 0.664, 0.969)
H (0.440, 0.327, 0.846)
H (0.748, 0.345, 0.125)
H (0.094, 0.480, 0.154)
H (0.124, 0.220, 0.875)
H (0.874, 0.665, 0.768)
H (0.296, 0.881, 0.015)
H (0.606, 0.897, 0.232)
H (0.781, 0.866, 0.985)
O (0.298, 0.166, 0.153)
O (0.129, 0.117, 0.866)
O (0.332, 0.003, 0.921)
O (0.336, 0.009, 0.615)
O (0.457, 0.327, 0.031)
O (0.644, 0.013, 0.847)
O (0.763, 0.251, 0.134)
O (0.861, 0.693, 0.676)
O (0.911, 0.082, 0.079)
O (0.764, 0.516, 0.380)
O (0.415, 0.321, 0.737)
O (0.359, 0.171, 0.452)
O (0.631, 0.237, 0.674)
O (0.221, 0.394, 0.385)
O (0.090, 0.695, 0.576)
O (0.926, 0.296, 0.969)
O (0.788, 0.595, 0.112)
O (0.686, 0.017, 0.324)
O (0.884, 0.136, 0.620)
O (0.177, 0.584, 0.263)
O (0.736, 0.739, 0.932)
O (0.407, 0.719, 0.548)
O (0.904, 0.589, 0.905)
O (0.457, 0.563, 0.326)
O (0.014, 0.119, 0.424)
O (0.895, 0.432, 0.587)
O (0.176, 0.483, 0.888)
O (0.034, 0.867, 0.166)
O (0.304, 0.807, 0.068)
O (0.499, 0.684, 0.095)
O (0.807, 0.845, 0.413)
O (0.368, 0.701, 0.834)



# 2
## Sr2TeMo (PBE)

Data for an optimized crystal structure of Sr2TeMo.

Cell lengths 8.719, 8.719, 7.249 Å; angles 53.03, 53.03, 90.00 degrees
Site moments in Bohr magnetons follow the coordinates.
Positions (direct):
Sr (0.626, 0.125, 0.250)  0.01
Sr (0.124, 0.625, 0.250)  0.01
Sr (0.375, 0.374, 0.750)  0.01
Sr (0.875, 0.876, 0.750)  0.01
Mo (0.500, 0.500, 0.000)  3.28
Mo (0.250, 0.750, 0.500)  3.29
Te (0.000, 0.000, 0.000)  0.01
Te (0.750, 0.250, 0.500)  0.01

## Properties
The uncorrected formation energy is 415 meV per atom.



# 3
## K3InSi (PBE)

Data for an optimized crystal structure of K3InSi.

Cell lengths 6.713, 6.713, 6.713 Å; angles 90.00, 90.00, 90.00 degrees
Site moments in Bohr magnetons follow the coordinates.
Positions (direct):
K (0.000, 0.500, 0.000)  -0.04
K (0.000, 0.000, 0.500)  -0.04
K (0.500, 0.000, 0.000)  -0.04
Si (0.500, 0.500, 0.500)  0.55
In (0.000, 0.000, 0.000)  -0.49

## Properties
The uncorrected formation energy is 684 meV per atom.



# 4
## Zn2Ir2Ru (PBE)

Data for an optimized crystal structure of Zn2Ir2Ru.

Cell lengths 7.120, 7.120, 2.950 Å; angles 90.00, 90.00, 90.00 degrees
Site moments in Bohr magnetons follow the coordinates.
Positions (direct):
Ru (0.000, 0.000, 0.000)  1.47
Ru (0.500, 0.500, 0.000)  1.47
Zn (0.168, 0.668, 0.500)  0.01
Zn (0.668, 0.832, 0.500)  0.01
Zn (0.832, 0.332, 0.500)  0.01
Zn (0.332, 0.168, 0.500)  0.01
Ir (0.368, 0.868, 0.000)  0.26
Ir (0.868, 0.632, 0.000)  0.25
Ir (0.632, 0.132, 0.000)  0.26
Ir (0.132, 0.368, 0.000)  0.25

## Properties
The value obtained for the polymorph energy (0 for the lowest one) is 0 meV per atom. The value obtained for the formation energy from the elements is 0.270 eV/atom.



Asked for DOS at the Fermi energy across the records above, the calculation gives 0.00 0.77 0.37 9.86 states/eV/cell in order.
Asked for raw total energy across the records above, the calculation gives -6.91 -3.92 -1.61 -5.64 eV per atom in order.